Here is a relaxed structure of InAg2 from Alexandria via LeMat-Bulk. Energies are from PBEsol.

Properties
formation energy = -43 meV per atom
crystal system = tetragonal
size of the total moment = 0.00 μB per formula unit
total energy = -9.7 eV per formula unit

Cell lengths 12.873, 12.873, 12.873 Å; angles 161.36, 161.36, 26.49 degrees
Element x y z (fractional)
In: 0.295 0.545 0.750
In: 0.455 0.705 0.750
In: 0.545 0.295 0.250
In: 0.705 0.455 0.250
Ag: 0.042 0.792 0.250
Ag: 0.125 0.375 0.750
Ag: 0.208 0.958 0.250
Ag: 0.375 0.125 0.250
Ag: 0.625 0.875 0.750
Ag: 0.792 0.042 0.750
Ag: 0.875 0.625 0.250
Ag: 0.958 0.208 0.750